Computed, not measured: AlTl2Fe after structural relaxation at the PBE level of DFT. Values from VASP.

Summary:
The calculation puts the calculated formation energy at 584 meV per atom. The electronic total energy comes out at -3.651 eV per atom. Its space-group type is I4/mmm. The calculation puts the excess energy over the best structure of this formula in the dataset at 314 meV per atom.

Geometry as Quantum ESPRESSO input:
```
&SYSTEM
  ibrav = 0, nat = 4, ntyp = 3
/
ATOMIC_SPECIES
Tl 204.38 Tl.upf
Fe 55.84 Fe.upf
Al 26.98 Al.upf
CELL_PARAMETERS angstrom
-2.335 -4.762 -0.743
-1.384 -2.024 4.761
-0.913 4.786 -2.223
ATOMIC_POSITIONS angstrom
Tl 0.000 0.000 0.000
Tl -1.860 -3.393 2.009
Fe -2.554 -1.684 -0.478
Al -2.078 -0.315 2.274
```